(1)
# Ta3HgO | Alexandria via LeMat-Bulk | GGA-PBEsol | relaxed
data_Ta3HgO
_symmetry_space_group_name_H-M 'P m -3 m'
_symmetry_Int_Tables_number 221
_symmetry_space_group_name_Hall '-P 4 2 3'
_cell_length_a 4.242
_cell_length_b 4.242
_cell_length_c 4.242
_cell_angle_alpha 90.00
_cell_angle_beta 90.00
_cell_angle_gamma 90.00
loop_
_atom_site_label
_atom_site_fract_x
_atom_site_fract_y
_atom_site_fract_z
Ta1 0.000 0.000 0.500
Hg1 0.500 0.500 0.500
O1 0.000 0.000 0.000
# density	16.5	g cm⁻³
# formation energy (no corrections)	-0.438	eV per atom

***

(2)
# Ca2YP | Alexandria via LeMat-Bulk | GGA-PBEsol | relaxed
data_Ca2YP
_symmetry_space_group_name_H-M 'R -3 m'
_symmetry_Int_Tables_number 166
_symmetry_space_group_name_Hall '-R 3 2"'
_cell_length_a 3.9595
_cell_length_b 3.9595
_cell_length_c 29.0857
_cell_angle_alpha 90.00
_cell_angle_beta 90.00
_cell_angle_gamma 120.00
loop_
_atom_site_label
_atom_site_fract_x
_atom_site_fract_y
_atom_site_fract_z
Ca1 0.0000 0.0000 0.2189
Y1 0.0000 0.0000 0.0000
P1 0.0000 0.0000 0.5000
# density	2.5	g cm⁻³
# E_form	-0.385	eV per atom

***

(3)
# GaP2PbO | Alexandria via LeMat-Bulk | GGA-PBEsol | relaxed
data_GaP2PbO
_symmetry_space_group_name_H-M 'P 4/m m m'
_symmetry_Int_Tables_number 123
_symmetry_space_group_name_Hall '-P 4 2'
_cell_length_a 5.211
_cell_length_b 5.211
_cell_length_c 4.108
_cell_angle_alpha 90.00
_cell_angle_beta 90.00
_cell_angle_gamma 90.00
loop_
_atom_site_label
_atom_site_fract_x
_atom_site_fract_y
_atom_site_fract_z
Ga1 0.000 0.000 0.000
P1 0.000 0.500 0.500
Pb1 0.500 0.500 0.500
O1 0.500 0.500 0.000
# density	5.3	g cm⁻³
# formation energy (no corrections)	0.805	eV per atom

***

(4)
# Na6MnSe4 | Alexandria via LeMat-Bulk | GGA-PBEsol | relaxed
data_Na6MnSe4
_symmetry_space_group_name_H-M 'P 63 m c'
_symmetry_Int_Tables_number 186
_symmetry_space_group_name_Hall 'P 6c -2c'
_cell_length_a 9.3030
_cell_length_b 9.3030
_cell_length_c 7.1408
_cell_angle_alpha 90.00
_cell_angle_beta 90.00
_cell_angle_gamma 120.00
loop_
_atom_site_label
_atom_site_fract_x
_atom_site_fract_y
_atom_site_fract_z
Na1 0.0593 0.5296 0.0000
Na2 0.1475 0.2949 0.6717
Mn1 0.3333 0.6667 0.3811
Se1 0.1864 0.3727 0.2727
Se2 0.3333 0.6667 0.7305
# density	3.2	g cm⁻³
# formation energy (no corrections)	-0.933	eV per atom

***

(5)
# Be2CdPt | Alexandria via LeMat-Bulk | GGA-PBEsol | relaxed
data_Be2CdPt
_symmetry_space_group_name_H-M 'A m m 2'
_symmetry_Int_Tables_number 38
_symmetry_space_group_name_Hall 'A 2 -2'
_cell_length_a 3.793
_cell_length_b 2.771
_cell_length_c 9.667
_cell_angle_alpha 90.00
_cell_angle_beta 90.00
_cell_angle_gamma 90.00
loop_
_atom_site_label
_atom_site_fract_x
_atom_site_fract_y
_atom_site_fract_z
Be1 0.000 0.000 0.000
Be2 0.500 0.000 0.125
Cd1 0.500 0.000 0.386
Pt1 0.000 0.000 0.697
# density	10.6	g cm⁻³
# E_form	-0.175	eV per atom

***

(6)
# La5Sb3Br | Alexandria via LeMat-Bulk | GGA-PBEsol | relaxed
data_La5Sb3Br
_symmetry_space_group_name_H-M 'P 63/m c m'
_symmetry_Int_Tables_number 193
_symmetry_space_group_name_Hall '-P 6c 2'
_cell_length_a 9.5291
_cell_length_b 9.5291
_cell_length_c 6.6608
_cell_angle_alpha 90.00
_cell_angle_beta 90.00
_cell_angle_gamma 120.00
loop_
_atom_site_label
_atom_site_fract_x
_atom_site_fract_y
_atom_site_fract_z
La1 0.0000 0.2738 0.2500
La2 0.3333 0.6667 0.0000
Sb1 0.0000 0.3829 0.7500
Br1 0.0000 0.0000 0.0000
# density	7.2	g cm⁻³
# formation energy (no corrections)	-1.279	eV per atom

***

(7)
# Li3As | Alexandria via LeMat-Bulk | GGA-PBEsol | relaxed
data_Li3As
_symmetry_space_group_name_H-M 'P 1 2/m 1'
_symmetry_Int_Tables_number 10
_symmetry_space_group_name_Hall '-P 2y'
_cell_length_a 2.854
_cell_length_b 4.222
_cell_length_c 5.384
_cell_angle_alpha 90.00
_cell_angle_beta 103.31
_cell_angle_gamma 90.00
loop_
_atom_site_label
_atom_site_fract_x
_atom_site_fract_y
_atom_site_fract_z
Li1 0.000 0.000 0.000
Li2 0.259 0.500 0.721
As1 0.500 0.000 0.500
# density	2.5	g cm⁻³
# E_form	-0.412	eV per atom

***

(8)
# CdHg2Br | Alexandria via LeMat-Bulk | GGA-PBEsol | relaxed
data_CdHg2Br
_symmetry_space_group_name_H-M 'P 4/m m m'
_symmetry_Int_Tables_number 123
_symmetry_space_group_name_Hall '-P 4 2'
_cell_length_a 5.127
_cell_length_b 5.127
_cell_length_c 3.716
_cell_angle_alpha 90.00
_cell_angle_beta 90.00
_cell_angle_gamma 90.00
loop_
_atom_site_label
_atom_site_fract_x
_atom_site_fract_y
_atom_site_fract_z
Cd1 0.000 0.000 0.000
Hg1 0.000 0.500 0.500
Br1 0.500 0.500 0.000
# density	10.1	g cm⁻³
# distance to the lowest polymorph of the same formula	0.57	eV per formula unit
# formation energy (no corrections)	-0.015	eV per atom

***

(9)
# CaScTlPt2 | Alexandria via LeMat-Bulk | GGA-PBEsol | relaxed
data_CaScTlPt2
_symmetry_space_group_name_H-M 'P 4/m m m'
_symmetry_Int_Tables_number 123
_symmetry_space_group_name_Hall '-P 4 2'
_cell_length_a 5.050
_cell_length_b 5.050
_cell_length_c 5.142
_cell_angle_alpha 90.00
_cell_angle_beta 90.00
_cell_angle_gamma 90.00
loop_
_atom_site_label
_atom_site_fract_x
_atom_site_fract_y
_atom_site_fract_z
Ca1 0.000 0.000 0.000
Sc1 0.500 0.500 0.000
Tl1 0.000 0.000 0.500
Pt1 0.000 0.500 0.500
# density	8.6	g cm⁻³
# E_form	0.652	eV per atom

***

(10)
# NaBS2Cl | Alexandria via LeMat-Bulk | GGA-PBEsol | relaxed
data_NaBS2Cl
_symmetry_space_group_name_H-M 'P 4/m m m'
_symmetry_Int_Tables_number 123
_symmetry_space_group_name_Hall '-P 4 2'
_cell_length_a 3.934
_cell_length_b 3.934
_cell_length_c 6.255
_cell_angle_alpha 90.00
_cell_angle_beta 90.00
_cell_angle_gamma 90.00
loop_
_atom_site_label
_atom_site_fract_x
_atom_site_fract_y
_atom_site_fract_z
Na1 0.000 0.000 0.000
B1 0.500 0.500 0.500
S1 0.000 0.500 0.500
Cl1 0.500 0.500 0.000
# density	2.3	g cm⁻³
# formation energy (no corrections)	-0.124	eV per atom

***

(11)
# BaAlMo2 | Alexandria via LeMat-Bulk | GGA-PBEsol | relaxed
data_BaAlMo2
_symmetry_space_group_name_H-M 'C 1 2/m 1'
_symmetry_Int_Tables_number 12
_symmetry_space_group_name_Hall '-C 2y'
_cell_length_a 6.119
_cell_length_b 9.581
_cell_length_c 2.855
_cell_angle_alpha 90.00
_cell_angle_beta 112.56
_cell_angle_gamma 90.00
loop_
_atom_site_label
_atom_site_fract_x
_atom_site_fract_y
_atom_site_fract_z
Ba1 0.000 0.000 0.000
Al1 0.000 0.500 0.000
Mo1 0.250 0.250 0.500
# density	7.7	g cm⁻³
# E_form	1.080	eV per atom

***

(12)
# KMnSb2 | Alexandria via LeMat-Bulk | GGA-PBEsol | relaxed
data_KMnSb2
_symmetry_space_group_name_H-M 'F m -3 m'
_symmetry_Int_Tables_number 225
_symmetry_space_group_name_Hall '-F 4 2 3'
_cell_length_a 7.300
_cell_length_b 7.300
_cell_length_c 7.300
_cell_angle_alpha 90.00
_cell_angle_beta 90.00
_cell_angle_gamma 90.00
loop_
_atom_site_label
_atom_site_fract_x
_atom_site_fract_y
_atom_site_fract_z
K1 0.000 0.000 0.000
Mn1 0.000 0.000 0.500
Sb1 0.250 0.250 0.250
# density	5.8	g cm⁻³
# distance to the lowest polymorph of the same formula	1.67	eV per formula unit
# formation energy (no corrections)	0.319	eV per atom

***

(13)
# BaAg3Rh | Alexandria via LeMat-Bulk | GGA-PBEsol | relaxed
data_BaAg3Rh
_symmetry_space_group_name_H-M 'P m -3 m'
_symmetry_Int_Tables_number 221
_symmetry_space_group_name_Hall '-P 4 2 3'
_cell_length_a 5.558
_cell_length_b 5.558
_cell_length_c 5.558
_cell_angle_alpha 90.00
_cell_angle_beta 90.00
_cell_angle_gamma 90.00
loop_
_atom_site_label
_atom_site_fract_x
_atom_site_fract_y
_atom_site_fract_z
Ba1 0.000 0.000 0.000
Ag1 0.000 0.000 0.500
Rh1 0.500 0.500 0.500
# density	5.5	g cm⁻³
# E_form	1.973	eV per atom

***

(14)
# CuAu | Alexandria via LeMat-Bulk | GGA-PBEsol | relaxed
data_CuAu
_symmetry_space_group_name_H-M 'P 21 3'
_symmetry_Int_Tables_number 198
_symmetry_space_group_name_Hall 'P 2ac 2ab 3'
_cell_length_a 4.882
_cell_length_b 4.882
_cell_length_c 4.882
_cell_angle_alpha 90.00
_cell_angle_beta 90.00
_cell_angle_gamma 90.00
loop_
_atom_site_label
_atom_site_fract_x
_atom_site_fract_y
_atom_site_fract_z
Cu1 0.096 0.096 0.096
Au1 0.096 0.596 0.904
# density	14.9	g cm⁻³
# E_form	0.020	eV per atom

***

(15)
# AlOs2Ru2 | Alexandria via LeMat-Bulk | GGA-PBEsol | relaxed
data_AlOs2Ru2
_symmetry_space_group_name_H-M 'I 4/m m m'
_symmetry_Int_Tables_number 139
_symmetry_space_group_name_Hall '-I 4 2'
_cell_length_a 3.718
_cell_length_b 3.718
_cell_length_c 11.493
_cell_angle_alpha 90.00
_cell_angle_beta 90.00
_cell_angle_gamma 90.00
loop_
_atom_site_label
_atom_site_fract_x
_atom_site_fract_y
_atom_site_fract_z
Al1 0.000 0.000 0.000
Os1 0.000 0.000 0.398
Ru1 0.000 0.500 0.250
# density	12.7	g cm⁻³
# E_form	0.532	eV per atom

***

(16)
# RePt2Pb | Alexandria via LeMat-Bulk | GGA-PBEsol | relaxed
data_RePt2Pb
_symmetry_space_group_name_H-M 'R 3 m'
_symmetry_Int_Tables_number 160
_symmetry_space_group_name_Hall 'R 3 -2"'
_cell_length_a 2.9184
_cell_length_b 2.9184
_cell_length_c 27.9551
_cell_angle_alpha 90.00
_cell_angle_beta 90.00
_cell_angle_gamma 120.00
loop_
_atom_site_label
_atom_site_fract_x
_atom_site_fract_y
_atom_site_fract_z
Re1 0.0000 0.0000 0.0000
Pt1 0.0000 0.0000 0.2614
Pt2 0.0000 0.0000 0.5145
Pb1 0.0000 0.0000 0.7589
# density	18.9	g cm⁻³
# E_form	0.466	eV per atom

***

(17)
# NaTh2P3O12 | Alexandria via LeMat-Bulk | GGA-PBEsol | relaxed
data_NaTh2P3O12
_symmetry_space_group_name_H-M 'C 1 c 1'
_symmetry_Int_Tables_number 9
_symmetry_space_group_name_Hall 'C -2yc'
_cell_length_a 17.419
_cell_length_b 6.804
_cell_length_c 8.117
_cell_angle_alpha 90.00
_cell_angle_beta 100.91
_cell_angle_gamma 90.00
loop_
_atom_site_label
_atom_site_fract_x
_atom_site_fract_y
_atom_site_fract_z
Na1 0.000 0.106 0.000
Th1 0.193 0.409 0.912
Th2 0.388 0.096 0.840
P1 0.038 0.398 0.638
P2 0.231 0.085 0.561
P3 0.352 0.413 0.185
O1 0.008 0.253 0.494
O2 0.057 0.304 0.814
O3 0.116 0.498 0.125
O4 0.181 0.101 0.035
O5 0.197 0.253 0.445
O6 0.244 0.150 0.750
O7 0.266 0.456 0.204
O8 0.318 0.041 0.548
O9 0.339 0.353 0.996
O10 0.389 0.246 0.300
O11 0.404 0.405 0.712
O12 0.470 0.052 0.623
# density	5.4	g cm⁻³
# formation energy (no corrections)	-2.901	eV per atom

***

(18)
# NaSiI2O | Alexandria via LeMat-Bulk | GGA-PBEsol | relaxed
data_NaSiI2O
_symmetry_space_group_name_H-M 'P 4/m m m'
_symmetry_Int_Tables_number 123
_symmetry_space_group_name_Hall '-P 4 2'
_cell_length_a 5.708
_cell_length_b 5.708
_cell_length_c 3.579
_cell_angle_alpha 90.00
_cell_angle_beta 90.00
_cell_angle_gamma 90.00
loop_
_atom_site_label
_atom_site_fract_x
_atom_site_fract_y
_atom_site_fract_z
Na1 0.000 0.000 0.000
Si1 0.500 0.500 0.500
I1 0.000 0.500 0.500
O1 0.500 0.500 0.000
# density	4.6	g cm⁻³
# formation energy (no corrections)	-0.862	eV per atom

***

(19)
# PmBi3 | Alexandria via LeMat-Bulk | GGA-PBEsol | relaxed
data_PmBi3
_symmetry_space_group_name_H-M 'I 4/m m m'
_symmetry_Int_Tables_number 139
_symmetry_space_group_name_Hall '-I 4 2'
_cell_length_a 4.642
_cell_length_b 4.642
_cell_length_c 10.958
_cell_angle_alpha 90.00
_cell_angle_beta 90.00
_cell_angle_gamma 90.00
loop_
_atom_site_label
_atom_site_fract_x
_atom_site_fract_y
_atom_site_fract_z
Pm1 0.000 0.000 0.000
Bi1 0.000 0.000 0.500
Bi2 0.000 0.500 0.250
# density	10.9	g cm⁻³
# E_form	-0.482	eV per atom
# distance to the lowest polymorph of the same formula	0.00	eV per formula unit

***

(20)
# Tl3SbOs | Alexandria via LeMat-Bulk | GGA-PBEsol | relaxed
data_Tl3SbOs
_symmetry_space_group_name_H-M 'P m -3 m'
_symmetry_Int_Tables_number 221
_symmetry_space_group_name_Hall '-P 4 2 3'
_cell_length_a 5.238
_cell_length_b 5.238
_cell_length_c 5.238
_cell_angle_alpha 90.00
_cell_angle_beta 90.00
_cell_angle_gamma 90.00
loop_
_atom_site_label
_atom_site_fract_x
_atom_site_fract_y
_atom_site_fract_z
Tl1 0.000 0.000 0.500
Sb1 0.500 0.500 0.500
Os1 0.000 0.000 0.000
# density	10.7	g cm⁻³
# formation energy (no corrections)	0.724	eV per atom

***

(21)
# LiSn4Ir | Alexandria via LeMat-Bulk | GGA-PBEsol | relaxed
data_LiSn4Ir
_symmetry_space_group_name_H-M 'I 4/m c m'
_symmetry_Int_Tables_number 140
_symmetry_space_group_name_Hall '-I 4 2c'
_cell_length_a 6.581
_cell_length_b 6.581
_cell_length_c 11.344
_cell_angle_alpha 90.00
_cell_angle_beta 90.00
_cell_angle_gamma 90.00
loop_
_atom_site_label
_atom_site_fract_x
_atom_site_fract_y
_atom_site_fract_z
Li1 0.000 0.000 0.000
Sn1 0.158 0.342 0.135
Ir1 0.000 0.000 0.250
# density	9.1	g cm⁻³
# E_form	-0.341	eV per atom

***

(22)
# ReNClF5 | Alexandria via LeMat-Bulk | GGA-PBEsol | relaxed
data_ReNClF5
_symmetry_space_group_name_H-M 'P 1 21/m 1'
_symmetry_Int_Tables_number 11
_symmetry_space_group_name_Hall '-P 2yb'
_cell_length_a 5.032
_cell_length_b 8.488
_cell_length_c 6.310
_cell_angle_alpha 90.00
_cell_angle_beta 95.17
_cell_angle_gamma 90.00
loop_
_atom_site_label
_atom_site_fract_x
_atom_site_fract_y
_atom_site_fract_z
Re1 0.028 0.250 0.296
N1 0.241 0.250 0.530
Cl1 0.439 0.250 0.735
F1 0.205 0.750 0.964
F2 0.206 0.597 0.614
F3 0.213 0.094 0.162
# density	4.1	g cm⁻³
# formation energy (no corrections)	-1.559	eV per atom

***

(23)
# Ga3ReW | Alexandria via LeMat-Bulk | GGA-PBEsol | relaxed
data_Ga3ReW
_symmetry_space_group_name_H-M 'P m -3 m'
_symmetry_Int_Tables_number 221
_symmetry_space_group_name_Hall '-P 4 2 3'
_cell_length_a 4.776
_cell_length_b 4.776
_cell_length_c 4.776
_cell_angle_alpha 90.00
_cell_angle_beta 90.00
_cell_angle_gamma 90.00
loop_
_atom_site_label
_atom_site_fract_x
_atom_site_fract_y
_atom_site_fract_z
Ga1 0.000 0.000 0.500
Re1 0.500 0.500 0.500
W1 0.000 0.000 0.000
# density	8.8	g cm⁻³
# E_form	1.716	eV per atom

***

(24)
# Ta2RuAu2 | Alexandria via LeMat-Bulk | GGA-PBEsol | relaxed
data_Ta2RuAu2
_symmetry_space_group_name_H-M 'I 4/m m m'
_symmetry_Int_Tables_number 139
_symmetry_space_group_name_Hall '-I 4 2'
_cell_length_a 3.737
_cell_length_b 3.737
_cell_length_c 12.985
_cell_angle_alpha 90.00
_cell_angle_beta 90.00
_cell_angle_gamma 90.00
loop_
_atom_site_label
_atom_site_fract_x
_atom_site_fract_y
_atom_site_fract_z
Ta1 0.000 0.500 0.250
Ru1 0.000 0.000 0.000
Au1 0.000 0.000 0.403
# density	15.7	g cm⁻³
# E_form	0.735	eV per atom

***

(25)
# Mn2RuBr2 | Alexandria via LeMat-Bulk | GGA-PBEsol | relaxed
data_Mn2RuBr2
_symmetry_space_group_name_H-M 'I 4/m m m'
_symmetry_Int_Tables_number 139
_symmetry_space_group_name_Hall '-I 4 2'
_cell_length_a 3.885
_cell_length_b 3.885
_cell_length_c 10.267
_cell_angle_alpha 90.00
_cell_angle_beta 90.00
_cell_angle_gamma 90.00
loop_
_atom_site_label
_atom_site_fract_x
_atom_site_fract_y
_atom_site_fract_z
Mn1 0.000 0.500 0.250
Ru1 0.000 0.000 0.000
Br1 0.000 0.000 0.367
# density	7.9	g cm⁻³
# formation energy (no corrections)	1.211	eV per atom